Record 1
# PBE BeTlTcPt2, optimized geometry
data_BeTlTcPt2
_chemical_formula_sum 'Be1 Tl1 Tc1 Pt2'
_cell_length_a 5.0445
_cell_length_b 5.0922
_cell_length_c 5.0445
_cell_angle_alpha 90.00
_cell_angle_beta 90.00
_cell_angle_gamma 90.00
_symmetry_space_group_name_H-M 'P 1'
_symmetry_Int_Tables_number 1
_symmetry_space_group_name_Hall 'P 1'
loop_
_atom_site_label
_atom_site_type_symbol
_atom_site_fract_x
_atom_site_fract_y
_atom_site_fract_z
Be1 Be 0.5000 0.5000 0.5000
Tl1 Tl 0.0000 0.0000 0.0000
Pt1 Pt 0.5000 0.0000 0.0000
Pt2 Pt 0.0000 0.0000 0.5000
Tc1 Tc 0.0000 0.5000 0.0000
# crystal system: tetragonal

Record 2
# PBE CaCu2GeAu4, optimized geometry
data_CaCu2GeAu4
_chemical_formula_sum 'Ca1 Cu2 Ge1 Au4'
_cell_length_a 4.6809
_cell_length_b 4.6809
_cell_length_c 8.0464
_cell_angle_alpha 73.09
_cell_angle_beta 73.09
_cell_angle_gamma 60.00
_symmetry_space_group_name_H-M 'P 1'
_symmetry_Int_Tables_number 1
_symmetry_space_group_name_Hall 'P 1'
loop_
_atom_site_label
_atom_site_type_symbol
_atom_site_fract_x
_atom_site_fract_y
_atom_site_fract_z
Cu1 Cu 0.2589 0.2589 0.2232
Ge1 Ge 0.5000 0.5000 0.5000
Au1 Au 0.3850 0.3850 0.8451
Au2 Au 0.8674 0.8674 0.3979
Au3 Au 0.1326 0.1326 0.6021
Ca1 Ca 0.0000 0.0000 0.0000
Cu2 Cu 0.7411 0.7411 0.7768
Au4 Au 0.6150 0.6150 0.1549
# crystal system: trigonal

It is found that the E_tot values, taken in the order of the records, are -18.234 -29.233 eV for the cell shown.
It is found that the formation enthalpy at 0 K values, taken in the order of the records, are 2.061 -0.164 eV per atom.